Here is a geometry-optimized CeHfCoNi structure from Alexandria via LeMat-Bulk. Energies are from PBE.

The calculated formation energy comes out at -0.176 eV/atom. The calculated volume comes out at 281 Å³ per cell. The density of states at the Fermi level is 22.4 states/eV/cell. The calculation puts the total energy at -117.91 eV for the cell shown.

The structure belongs to space group F-43m (No. 216); the cell edges are 6.5534, 6.5534 and 6.5534 Å and the angles 90.00°, 90.00° and 90.00°. The asymmetric unit holds Ce at (0.0000, 0.0000, 0.0000), Hf at (0.0000, 0.0000, 0.5000), Co at (0.2500, 0.2500, 0.7500) and Ni at (0.2500, 0.2500, 0.2500).

Here is a geometry-optimized Hf3Zn5Ag12 structure from Alexandria via LeMat-Bulk. Energies are from PBE.

The calculated formation energy comes out at 0.491 eV/atom. The calculated volume comes out at 3731 Å³ per cell. The density of states at the Fermi level is 124.9 states/eV/cell. The calculation puts the total energy at -484.96 eV for the cell shown.

The structure belongs to space group Ia-3d (No. 230); the cell edges are 15.5100, 15.5100 and 15.5100 Å and the angles 90.00°, 90.00° and 90.00°. The asymmetric unit holds Hf at (0.0000, 0.2500, 0.1250), Zn at (0.0000, 0.0000, 0.0000), Zn at (0.0000, 0.2500, 0.3750) and Ag at (0.0125, 0.0717, 0.6505).

Here is a geometry-optimized TlFe2Hg structure from Alexandria via LeMat-Bulk. Energies are from PBE.

The energy relative to the lowest polymorph listed for this composition is 0.0 kJ/mol of atoms. The calculated formation energy comes out at 0.381 eV/atom. The calculated volume comes out at 74 Å³ per cell. The density of states at the Fermi level is 2.2 states/eV/cell. The calculation puts the total energy at -18.07 eV for the cell shown.

The structure belongs to space group P4mm (No. 99); the cell edges are 3.1382, 3.1382 and 7.5198 Å and the angles 90.00°, 90.00° and 90.00°. The asymmetric unit holds Tl at (0.0000, 0.0000, 0.0000), Fe at (0.0000, 0.0000, 0.4091), Fe at (0.5000, 0.5000, 0.2672) and Hg at (0.5000, 0.5000, 0.6545).

Here is a geometry-optimized GaGeAs2Br structure from Alexandria via LeMat-Bulk. Energies are from PBE.

The energy relative to the lowest polymorph listed for this composition is 0.0 kJ/mol of atoms. The calculated volume comes out at 141 Å³ per cell. For the formation energy (no corrections), the calculation gives 0.453 eV/atom. The density of states at the Fermi level is 4.5 states/eV/cell. The calculation puts the total energy at -16.35 eV for the cell shown.

The structure belongs to space group P4/mmm (No. 123); the cell edges are 4.9662, 4.9662 and 5.7027 Å and the angles 90.00°, 90.00° and 90.00°. The asymmetric unit holds Ga at (0.0000, 0.0000, 0.0000), Ge at (0.5000, 0.5000, 0.5000), As at (0.0000, 0.5000, 0.5000) and Br at (0.5000, 0.5000, 0.0000).

Here is a geometry-optimized Er7Zr2Sc2 structure from Alexandria via LeMat-Bulk. Energies are from PBE.

The calculated formation energy comes out at 0.236 eV/atom. The calculated volume comes out at 619 Å³ per cell. The density of states at the Fermi level is 32.8 states/eV/cell. The calculation puts the total energy at -118.20 eV for the cell shown.

The structure belongs to space group C2/m (No. 12); the cell edges are 10.7157, 10.9886 and 5.6818 Å and the angles 90.00°, 112.39° and 90.00°. The asymmetric unit holds Er at (0.0000, 0.0000, 0.0000), Er at (0.1775, 0.2315, 0.1751), Er at (0.2289, 0.0000, 0.6097), Zr at (0.0654, 0.5000, 0.7876) and Sc at (0.0000, 0.2320, 0.5000).

Here is a geometry-optimized NaMgTiRh2 structure from Alexandria via LeMat-Bulk. Energies are from PBE.

The calculated formation energy comes out at 0.441 eV/atom. The calculated volume comes out at 105 Å³ per cell. The density of states at the Fermi level is 2.8 states/eV/cell. The calculation puts the total energy at -23.31 eV for the cell shown.

The structure belongs to space group P4/mmm (No. 123); the cell edges are 4.5556, 4.5556 and 5.0776 Å and the angles 90.00°, 90.00° and 90.00°. The asymmetric unit holds Na at (0.0000, 0.0000, 0.0000), Mg at (0.5000, 0.5000, 0.0000), Ti at (0.0000, 0.0000, 0.5000) and Rh at (0.0000, 0.5000, 0.5000).

Here is a geometry-optimized La2CuRe structure from Alexandria via LeMat-Bulk. Energies are from PBE.

The energy relative to the lowest polymorph listed for this composition is 11.4 kJ/mol of atoms. The calculated formation energy comes out at 0.267 eV/atom. The calculated volume comes out at 101 Å³ per cell. The density of states at the Fermi level is 2.5 states/eV/cell. The calculation puts the total energy at -25.33 eV for the cell shown.

The structure belongs to space group P4mm (No. 99); the cell edges are 3.5217, 3.5217 and 8.1635 Å and the angles 90.00°, 90.00° and 90.00°. The asymmetric unit holds La at (0.0000, 0.0000, 0.0000), La at (0.5000, 0.5000, 0.4309), Cu at (0.5000, 0.5000, 0.7811) and Re at (0.0000, 0.0000, 0.6751).

Here is a geometry-optimized ErMnTlTe3 structure from Alexandria via LeMat-Bulk. Energies are from PBE.

The calculated volume comes out at 413 Å³ per cell. For the formation energy (no corrections), the calculation gives -0.714 eV/atom. The density of states at the Fermi level is 1.5 states/eV/cell. The calculation puts the total energy at -59.61 eV for the cell shown.

The structure belongs to space group P2_1/m (No. 11); the cell edges are 9.5380, 4.4200 and 10.2589 Å and the angles 90.00°, 107.35° and 90.00°. The asymmetric unit holds Er at (0.1700, 0.2500, 0.1415), Mn at (0.4163, 0.7500, 0.3950), Tl at (0.2943, 0.7500, 0.7739), Te at (0.0424, 0.2500, 0.8325), Te at (0.2819, 0.2500, 0.4665) and Te at (0.3927, 0.7500, 0.1284).